Record 1
GGA-PBE CsYC, optimized geometry; space-group type = P1 (1); energy relative to the lowest polymorph listed for this composition = 0.0 meV/atom; raw total energy = -32.8 eV for the cell shown; formation energy from the elements = 0.048 eV per atom
1.0
3.794 0.000 0.000
1.881 3.922 0.000
1.384 1.025 14.944
Cs Y C
2 2 2
Direct
0.000 0.000 0.000
0.456 0.783 0.318
0.112 0.208 0.578
0.368 0.578 0.740
0.657 0.041 0.681
0.823 0.744 0.637

Record 2
GGA-PBE ScAsCl2, optimized geometry; space-group type = Immm (71); energy relative to the lowest polymorph listed for this composition = 111.3 meV/atom; raw total energy = -18.9 eV for the cell shown; ΔE_f (raw) = -1.05 eV per atom
1.0
-1.586 2.591 6.888
1.586 -2.591 6.888
1.586 2.591 -6.888
Sc As Cl
1 1 2
Direct
0.000 0.000 0.000
0.500 0.500 0.000
0.143 0.643 0.500
0.857 0.357 0.500

Record 3
GGA-PBE MgAlPt2, optimized geometry; space-group type = I-4m2 (119); raw total energy = -20.8 eV for the cell shown; formation energy from the elements = -0.835 eV per atom
1.0
-1.881 1.881 4.355
1.881 -1.881 4.355
1.881 1.881 -4.355
Mg Al Pt
1 1 2
Direct
0.000 0.000 0.000
0.750 0.250 0.500
0.250 0.750 0.500
0.500 0.500 0.000